(1)
VASP calculation (GGA-PBE) on KLa2SiAg after structural relaxation.

Lattice parameters (Å, degrees): 5.932 4.852 5.932 90.00 90.00 90.00
Atoms (fractional coordinates):
1 Ag 0.000 0.000 0.000
2 La 0.500 0.000 0.000
3 Si 0.000 0.500 0.000
4 La 0.000 0.000 0.500
5 K 0.500 0.500 0.500

Calculated values
Uncorrected formation energy   0.302 eV/atom
SG   P4/mmm, No. 123

=====

(2)
VASP calculation (GGA-PBE) on RbScSb2 after structural relaxation.

Lattice parameters (Å, degrees): 3.946 3.946 8.045 90.00 90.00 90.00
Atoms (fractional coordinates):
1 Sb 0.000 0.000 0.820
2 Sb 0.000 0.000 0.180
3 Sc 0.500 0.500 0.000
4 Rb 0.500 0.500 0.500

Calculated values
Excess energy over the best structure of this formula in the dataset   0 meV/atom
Uncorrected formation energy   -0.514 eV/atom
SG   P4/mmm, No. 123

=====

(3)
VASP calculation (GGA-PBE) on LaHo2ScSe6 after structural relaxation.

Lattice parameters (Å, degrees): 7.203 7.203 7.653 61.92 61.92 59.99
Atoms (fractional coordinates):
1 Se 0.594 0.227 0.246
2 Se 0.718 0.138 0.754
3 Ho 0.518 0.518 0.445
4 Se 0.933 0.594 0.246
5 La 0.810 0.810 0.569
6 Se 0.227 0.933 0.246
7 Ho 0.010 0.011 0.968
8 Sc 0.322 0.322 0.034
9 Se 0.138 0.390 0.754
10 Se 0.390 0.718 0.754

Calculated values
Uncorrected formation energy   -1.816 eV/atom
SG   R3, No. 146

=====

(4)
VASP calculation (GGA-PBE) on Dy2HoScIn2 after structural relaxation.

Lattice parameters (Å, degrees): 5.277 6.659 9.165 90.00 90.00 90.00
Atoms (fractional coordinates):
1 In 0.000 0.258 0.824
2 Ho 0.000 0.007 0.499
3 In 0.500 0.757 0.656
4 In 0.500 0.257 0.344
5 Dy 0.500 0.508 0.999
6 Ho 0.000 0.507 0.501
7 Dy 0.000 0.759 0.836
8 Dy 0.000 0.259 0.164
9 In 0.000 0.758 0.176
10 Sc 0.500 0.757 0.330
11 Sc 0.500 0.257 0.670
12 Dy 0.500 0.008 0.001

Calculated values
Energy of formation   -2.12 eV/f.u.
SG   Pmc2_1, No. 26

=====

(5)
VASP calculation (GGA-PBE) on Ag2OsPt after structural relaxation.

Lattice parameters (Å, degrees): 4.845 4.845 5.182 82.23 82.23 32.78
Atoms (fractional coordinates):
1 Ag 0.000 0.000 0.980
2 Os 0.502 0.502 0.461
3 Pt 0.244 0.244 0.290
4 Ag 0.754 0.754 0.769

Calculated values
Energy of formation   1.63 eV/f.u.
Excess energy over the best structure of this formula in the dataset   153 meV/atom
SG   Cm, No. 8

=====

(6)
VASP calculation (GGA-PBE) on LaTb2Th2 after structural relaxation.

Lattice parameters (Å, degrees): 3.606 3.606 14.809 83.01 83.01 60.00
Atoms (fractional coordinates):
1 Th 0.199 0.199 0.403
2 La 0.000 0.000 0.000
3 Tb 0.402 0.402 0.793
4 Th 0.801 0.801 0.597
5 Tb 0.598 0.598 0.207

Calculated values
Energy of formation   0.09 eV/f.u.
Excess energy over the best structure of this formula in the dataset   0 meV/atom
SG   R-3m, No. 166

=====

(7)
VASP calculation (GGA-PBE) on Li2B2Pd5 after structural relaxation.

Lattice parameters (Å, degrees): 6.530 5.398 8.057 109.57 113.90 90.00
Atoms (fractional coordinates):
1 B 0.206 0.444 0.500
2 Li 0.161 0.523 0.207
3 Pd 0.781 0.795 0.704
4 Li 0.454 0.816 0.793
5 Pd 0.423 0.295 0.704
6 Pd 0.195 0.653 0.926
7 Pd 0.219 0.091 0.296
8 Pd 0.805 0.728 0.074
9 Pd 0.092 0.809 0.500
10 Pd 0.908 0.309 0.500
11 B 0.000 0.976 0.000
12 Pd 0.770 0.228 0.074
13 B 0.794 0.944 0.500
14 Li 0.546 0.023 0.207
15 Pd 0.577 0.591 0.296
16 Pd 0.230 0.153 0.926
17 B 0.500 0.476 0.000
18 Li 0.839 0.316 0.793

Calculated values
Energy of formation   -2.15 eV/f.u.
SG   Ima2, No. 46

=====

(8)
VASP calculation (GGA-PBE) on Er8AsSe4S3 after structural relaxation.

Lattice parameters (Å, degrees): 7.927 8.014 7.927 119.64 120.00 90.00
Atoms (fractional coordinates):
1 Er 0.735 0.727 0.981
2 Se 0.000 0.000 0.500
3 S 0.000 0.500 0.500
4 Er 0.259 0.278 0.519
5 Se 0.500 0.000 0.000
6 Er 0.754 0.273 0.019
7 Er 0.246 0.727 0.981
8 Er 0.265 0.273 0.019
9 S 0.500 0.500 0.000
10 S 0.500 0.500 0.500
11 Se 0.500 0.000 0.500
12 Se 0.000 0.000 0.000
13 As 0.000 0.500 0.000
14 Er 0.754 0.273 0.508
15 Er 0.246 0.727 0.492
16 Er 0.741 0.722 0.481

Calculated values
Uncorrected formation energy   -1.797 eV/atom
SG   R-3m, No. 166

=====

(9)
VASP calculation (GGA-PBE) on Er3TmGa12 after structural relaxation.

Lattice parameters (Å, degrees): 4.246 4.246 17.029 90.00 90.00 90.00
Atoms (fractional coordinates):
1 Tm 0.000 0.000 0.000
2 Ga 0.500 0.500 0.000
3 Er 0.000 0.000 0.750
4 Ga 0.500 0.500 0.500
5 Ga 0.500 0.000 0.375
6 Ga 0.500 0.500 0.250
7 Ga 0.000 0.500 0.375
8 Ga 0.500 0.500 0.750
9 Er 0.000 0.000 0.500
10 Ga 0.500 0.000 0.124
11 Ga 0.000 0.500 0.124
12 Ga 0.000 0.500 0.876
13 Ga 0.000 0.500 0.625
14 Er 0.000 0.000 0.250
15 Ga 0.500 0.000 0.625
16 Ga 0.500 0.000 0.876

Calculated values
Energy of formation   -8.28 eV/f.u.
SG   P4/mmm, No. 123

=====

(10)
VASP calculation (GGA-PBE) on NaPuGaPb after structural relaxation.

Lattice parameters (Å, degrees): 5.270 5.270 5.270 60.00 60.00 60.00
Last column: magnetic moment on the atom in μB.
Atoms (fractional coordinates):
1 Pb 0.750 0.750 0.750  -0.03
2 Ga 0.250 0.250 0.250  0.07
3 Pu 0.000 0.000 0.000  5.47
4 Na 0.500 0.500 0.500  0.00

Calculated values
Energy of formation   -0.35 eV/f.u.
SG   F-43m, No. 216

=====

(11)
VASP calculation (GGA-PBE) on KIrS after structural relaxation.

Lattice parameters (Å, degrees): 3.608 4.211 10.716 90.00 91.02 90.00
Atoms (fractional coordinates):
1 Ir 0.748 0.592 0.471
2 K 0.734 0.968 0.208
3 S 0.758 0.932 0.647
4 Ir 0.252 0.092 0.529
5 K 0.266 0.468 0.792
6 S 0.242 0.432 0.353

Calculated values
Excess energy over the best structure of this formula in the dataset   33 meV/atom
Uncorrected formation energy   -0.336 eV/atom
SG   P2_1, No. 4

=====

(12)
VASP calculation (GGA-PBE) on NiGe2WCl after structural relaxation.

Lattice parameters (Å, degrees): 4.871 3.947 4.871 90.00 90.00 90.00
Last column: magnetic moment on the atom in μB.
Atoms (fractional coordinates):
1 Ge 0.500 0.000 0.000  -0.03
2 Cl 0.000 0.000 0.000  0.02
3 Ni 0.000 0.500 0.000  0.15
4 Ge 0.000 0.000 0.500  -0.03
5 W 0.500 0.500 0.500  1.62

Calculated values
Uncorrected formation energy   1.338 eV/atom
SG   P4/mmm, No. 123

=====

Record order is preserved below.
Total energy: -3.54, -4.40, -5.95, -4.62, -5.34, -5.79, -5.03, -6.01, -3.92, -5.68, -5.03, -4.62 eV/atom